Material: LaSmCo4
Method: DFT, GGA-PBE
State: optimized geometry

- Density of states at the Fermi level: 9.336 states/eV/cell
- DFT formation energy: -0.09 eV per atom
- Total moment: 5.365 Bohr magnetons per cell
- E_tot: -6.4351 eV/atom
- Excess energy over the best structure of this formula in the dataset: 0.0 kJ per mole of atoms

Cell: 3.910 6.780 8.404 Å, 90.00 90.00 90.00°
Space group Immm (No. 71)
Inequivalent atoms, fractional coordinates:
La1 0.000 0.000 0.000 (multiplicity 2)
Sm1 0.000 0.000 0.500 (multiplicity 2)
Co1 0.000 0.333 0.247 (multiplicity 8)

***

Material: Ag2SnPb
Method: DFT, GGA-PBE
State: optimized geometry

- Density of states at the Fermi level: 8.494 states/eV/cell
- DFT formation energy: 0.21 eV per atom
- Total moment: 0.000 Bohr magnetons per cell
- E_tot: -3.1445 eV/atom
- Excess energy over the best structure of this formula in the dataset: 11.2 kJ per mole of atoms

Cell: 7.954 7.954 6.370 Å, 90.00 90.00 90.00°
Space group I-42d (No. 122)
Inequivalent atoms, fractional coordinates:
Ag1 0.236 0.250 0.125 (multiplicity 8)
Sn1 0.000 0.000 0.000 (multiplicity 4)
Pb1 0.000 0.000 0.500 (multiplicity 4)

***

Material: YMgSi
Method: DFT, GGA-PBE
State: optimized geometry

- Density of states at the Fermi level: 1.955 states/eV/cell
- Total moment: 0.000 Bohr magnetons per cell
- E_tot: -4.8816 eV/atom

Cell: 4.4788 4.4788 3.7567 Å, 90.00 90.00 120.00°
Space group P-6m2 (No. 187)
Inequivalent atoms, fractional coordinates:
Y1 0.0000 0.0000 0.0000 (multiplicity 1)
Mg1 0.6667 0.3333 0.5000 (multiplicity 1)
Si1 0.3333 0.6667 0.5000 (multiplicity 1)

***

Material: HfTl3Cd2Se6
Method: DFT, GGA-PBE
State: optimized geometry

- Density of states at the Fermi level: 8.120 states/eV/cell
- Total moment: 0.000 Bohr magnetons per cell
- E_tot: -3.9525 eV/atom

Cell: 7.098 12.380 7.770 Å, 90.00 108.08 90.00°
Space group C2/m (No. 12)
Inequivalent atoms, fractional coordinates:
Hf1 0.000 0.000 0.000 (multiplicity 2)
Tl1 0.000 0.168 0.500 (multiplicity 4)
Tl2 0.000 0.500 0.500 (multiplicity 2)
Cd1 0.000 0.335 0.000 (multiplicity 4)
Se1 0.227 0.157 0.204 (multiplicity 8)
Se2 0.243 0.000 0.790 (multiplicity 4)

***

Copy entry 1 word for word.
Material: LaSmCo4
Method: DFT, GGA-PBE
State: optimized geometry

- Density of states at the Fermi level: 9.336 states/eV/cell
- DFT formation energy: -0.09 eV per atom
- Total moment: 5.365 Bohr magnetons per cell
- E_tot: -6.4351 eV/atom
- Excess energy over the best structure of this formula in the dataset: 0.0 kJ per mole of atoms

Cell: 3.910 6.780 8.404 Å, 90.00 90.00 90.00°
Space group Immm (No. 71)
Inequivalent atoms, fractional coordinates:
La1 0.000 0.000 0.000 (multiplicity 2)
Sm1 0.000 0.000 0.500 (multiplicity 2)
Co1 0.000 0.333 0.247 (multiplicity 8)

***

- What is the formula in the second record?
  Ag2SnPb

***

- Which of these has the highest total moment?
  LaSmCo4